This record from Alexandria describes crystalline Dy2YEr4Tm2 at its relaxed geometry. The functional is PBE.

Lattice parameters (Å, degrees): 18.458 3.554 9.416 90.00 115.80 90.00
Space group C2/m (No. 12)
Inequivalent atoms, fractional coordinates:
Dy  0.148  0.000  0.167 [4 per cell]
Y  0.000  0.000  0.500 [2 per cell]
Er  0.019  0.500  0.835 [4 per cell]
Er  0.186  0.000  0.834 [4 per cell]
Tm  0.167  0.500  0.501 [4 per cell]

Properties
Final energy = -4.76 eV/atom
DFT formation energy = 3 kJ/mol of formula units